Entry 1:
Material: LaAl2Pb
Method: DFT, PBE-GGA
State: relaxed

```
data_LaAl2Pb
_space_group_name_H-M_alt 'C m m m'
_space_group_IT_number 65
_space_group_name_Hall '-C 2 2'
_cell_length_a 5.399
_cell_length_b 5.424
_cell_length_c 7.009
_cell_angle_alpha 90.00
_cell_angle_beta 90.00
_cell_angle_gamma 90.00
loop_
_atom_site_label
_atom_site_type_symbol
_atom_site_fract_x
_atom_site_fract_y
_atom_site_fract_z
La1 La 0.000 0.000 0.000
Al1 Al 0.000 0.500 0.293
Pb1 Pb 0.000 0.000 0.500
```

Results
energy of formation from the pure elements	-110	meV/atom

Entry 2:
Material: GdCdAg
Method: DFT, PBE-GGA
State: relaxed

```
data_GdCdAg
_space_group_name_H-M_alt 'F -4 3 m'
_space_group_IT_number 216
_space_group_name_Hall 'F -4 2 3'
_cell_length_a 6.863
_cell_length_b 6.863
_cell_length_c 6.863
_cell_angle_alpha 90.00
_cell_angle_beta 90.00
_cell_angle_gamma 90.00
loop_
_atom_site_label
_atom_site_type_symbol
_atom_site_fract_x
_atom_site_fract_y
_atom_site_fract_z
Gd1 Gd 0.000 0.000 0.000
Cd1 Cd 0.000 0.000 0.500
Ag1 Ag 0.250 0.250 0.250
```

Results
energy of formation from the pure elements	-152	meV/atom

Entry 3:
Material: Y4AgIr2
Method: DFT, PBE-GGA
State: relaxed

```
data_Y4AgIr2
_space_group_name_H-M_alt 'R -3 m'
_space_group_IT_number 166
_space_group_name_Hall '-R 3 2"'
_cell_length_a 4.9140
_cell_length_b 4.9140
_cell_length_c 23.8389
_cell_angle_alpha 90.00
_cell_angle_beta 90.00
_cell_angle_gamma 120.00
loop_
_atom_site_label
_atom_site_type_symbol
_atom_site_fract_x
_atom_site_fract_y
_atom_site_fract_z
Y1 Y 0.0000 0.0000 0.1203
Y2 Y 0.0000 0.0000 0.3714
Ag1 Ag 0.0000 0.0000 0.5000
Ir1 Ir 0.0000 0.0000 0.2490
```

Results
energy of formation from the pure elements	-633	meV/atom
distance to the lowest polymorph of the same formula	0.000	eV per atom

Entry 4:
Material: Ac6IrRh3
Method: DFT, PBE-GGA
State: relaxed

```
data_Ac6IrRh3
_space_group_name_H-M_alt 'P 1 21/m 1'
_space_group_IT_number 11
_space_group_name_Hall '-P 2yb'
_cell_length_a 12.522
_cell_length_b 4.314
_cell_length_c 12.650
_cell_angle_alpha 90.00
_cell_angle_beta 111.01
_cell_angle_gamma 90.00
loop_
_atom_site_label
_atom_site_type_symbol
_atom_site_fract_x
_atom_site_fract_y
_atom_site_fract_z
Ac1 Ac 0.049 0.250 0.399
Ac2 Ac 0.106 0.750 0.950
Ac3 Ac 0.233 0.250 0.756
Ac4 Ac 0.250 0.750 0.286
Ac5 Ac 0.398 0.250 0.569
Ac6 Ac 0.438 0.250 0.105
Ir1 Ir 0.194 0.750 0.551
Rh1 Rh 0.003 0.250 0.793
Rh2 Rh 0.335 0.750 0.936
Rh3 Rh 0.416 0.250 0.339
```

Results
energy of formation from the pure elements	-599	meV/atom

Entry 5:
Material: Sc2BeTl
Method: DFT, PBE-GGA
State: relaxed

```
data_Sc2BeTl
_space_group_name_H-M_alt 'R -3 m'
_space_group_IT_number 166
_space_group_name_Hall '-R 3 2"'
_cell_length_a 3.3941
_cell_length_b 3.3941
_cell_length_c 25.6248
_cell_angle_alpha 90.00
_cell_angle_beta 90.00
_cell_angle_gamma 120.00
loop_
_atom_site_label
_atom_site_type_symbol
_atom_site_fract_x
_atom_site_fract_y
_atom_site_fract_z
Sc1 Sc 0.0000 0.0000 0.2361
Be1 Be 0.0000 0.0000 0.5000
Tl1 Tl 0.0000 0.0000 0.0000
```

Results
energy of formation from the pure elements	33	meV/atom
distance to the lowest polymorph of the same formula	0.178	eV per atom

Entry 6:
Material: Pr2SeCl5
Method: DFT, PBE-GGA
State: relaxed

```
data_Pr2SeCl5
_space_group_name_H-M_alt 'I m m m'
_space_group_IT_number 71
_space_group_name_Hall '-I 2 2'
_cell_length_a 4.661
_cell_length_b 8.615
_cell_length_c 10.811
_cell_angle_alpha 90.00
_cell_angle_beta 90.00
_cell_angle_gamma 90.00
loop_
_atom_site_label
_atom_site_type_symbol
_atom_site_fract_x
_atom_site_fract_y
_atom_site_fract_z
Pr1 Pr 0.000 0.000 0.248
Se1 Se 0.000 0.500 0.500
Cl1 Cl 0.000 0.000 0.500
Cl2 Cl 0.000 0.315 0.165
```

Results
uncorrected formation energy	-1.84	eV per atom

Entry 7:
Material: NiRh2Br
Method: DFT, PBE-GGA
State: relaxed

```
data_NiRh2Br
_space_group_name_H-M_alt 'I -4 m 2'
_space_group_IT_number 119
_space_group_name_Hall 'I -4 -2'
_cell_length_a 3.977
_cell_length_b 3.977
_cell_length_c 7.654
_cell_angle_alpha 90.00
_cell_angle_beta 90.00
_cell_angle_gamma 90.00
loop_
_atom_site_label
_atom_site_type_symbol
_atom_site_fract_x
_atom_site_fract_y
_atom_site_fract_z
Ni1 Ni 0.000 0.000 0.000
Rh1 Rh 0.000 0.000 0.500
Rh2 Rh 0.000 0.500 0.750
Br1 Br 0.000 0.500 0.250
```

Results
uncorrected formation energy	0.68	eV per atom
distance to the lowest polymorph of the same formula	0.324	eV per atom

Entry 8:
Material: Sr2TlGa3Au4
Method: DFT, PBE-GGA
State: relaxed

```
data_Sr2TlGa3Au4
_space_group_name_H-M_alt 'P -4 m 2'
_space_group_IT_number 115
_space_group_name_Hall 'P -4 -2'
_cell_length_a 4.595
_cell_length_b 4.595
_cell_length_c 11.085
_cell_angle_alpha 90.00
_cell_angle_beta 90.00
_cell_angle_gamma 90.00
loop_
_atom_site_label
_atom_site_type_symbol
_atom_site_fract_x
_atom_site_fract_y
_atom_site_fract_z
Sr1 Sr 0.000 0.500 0.240
Tl1 Tl 0.000 0.000 0.500
Ga1 Ga 0.000 0.500 0.883
Ga2 Ga 0.500 0.500 0.500
Au1 Au 0.000 0.000 0.000
Au2 Au 0.000 0.500 0.653
Au3 Au 0.500 0.500 0.000
```

Results
energy of formation from the pure elements	-528	meV/atom